DFT (PBE with a Hubbard U) results for TlCuNiO2 after structural relaxation.

a b c (Å): 4.233 5.060 4.233
angles (deg): 90.00 90.00 90.00
Sites, in units of the cell vectors:
1 Tl 0.000 0.000 0.000
2 Ni 0.500 0.500 0.500
3 O 0.500 0.000 0.000
4 O 0.000 0.000 0.500
5 Cu 0.000 0.500 0.000

Results
crystal system: tetragonal
mass density: 6.57 g/cm3
E_tot: -14.70 eV per formula unit
space group: P4/mmm (123)